Entry 1:
Computed, not measured: TbNdEr2Hg4 after structural relaxation at the PBE level of DFT.

Lattice parameters (Å, degrees): 5.2851 5.2851 9.1906 73.29 73.29 60.00
Sites, in units of the cell vectors:
Tb (0.5000, 0.5000, 0.5000)
Nd (0.0000, 0.0000, 0.0000)
Hg (0.3772, 0.3772, 0.8684)
Hg (0.6228, 0.6228, 0.1316)
Hg (0.1268, 0.1268, 0.6196)
Hg (0.8732, 0.8732, 0.3804)
Er (0.2495, 0.2495, 0.2516)
Er (0.7505, 0.7505, 0.7484)

**Final energy**: -23.49 eV for the cell shown

=====

Entry 2:
Computed, not measured: TbNdErHg after structural relaxation at the PBE level of DFT.

Lattice parameters (Å, degrees): 5.4606 5.4606 5.4606 60.00 60.00 60.00
Sites, in units of the cell vectors:
Hg (0.2500, 0.2500, 0.2500)
Er (0.7500, 0.7500, 0.7500)
Nd (0.5000, 0.5000, 0.5000)
Tb (0.0000, 0.0000, 0.0000)

**Polymorph energy (0 for the lowest one)**: 0.1662 eV/atom

=====

Entry 3:
Computed, not measured: NdErHgTe after structural relaxation at the PBE level of DFT.

Lattice parameters (Å, degrees): 4.2165 4.2165 8.1678 75.04 75.04 60.00
Sites, in units of the cell vectors:
Te (0.5041, 0.5041, 0.4878)
Hg (0.9961, 0.9961, 0.0117)
Er (0.2501, 0.2501, 0.2498)
Nd (0.7498, 0.7498, 0.7507)

**Uncorrected formation energy**: -0.865 eV per atom

=====

Entry 4:
Computed, not measured: NdErTlHg after structural relaxation at the PBE level of DFT.

Lattice parameters (Å, degrees): 3.7877 3.7877 7.6796 90.00 90.00 90.00
Sites, in units of the cell vectors:
Tl (0.0000, 0.0000, 0.8420)
Er (0.5000, 0.5000, 0.5945)
Hg (0.0000, 0.0000, 0.3780)
Nd (0.5000, 0.5000, 0.1136)

**Polymorph energy (0 for the lowest one)**: 0.0000 eV/atom

=====

Entry 5:
Computed, not measured: NdErTlHg after structural relaxation at the PBE level of DFT.

Lattice parameters (Å, degrees): 5.3869 5.3869 5.3869 60.00 60.00 60.00
Sites, in units of the cell vectors:
Er (0.2500, 0.2500, 0.2500)
Hg (0.5000, 0.5000, 0.5000)
Nd (0.7500, 0.7500, 0.7500)
Tl (0.0000, 0.0000, 0.0000)

**Polymorph energy (0 for the lowest one)**: 0.0134 eV/atom

=====

Entry 6:
Computed, not measured: NdErTm2Hg4 after structural relaxation at the PBE level of DFT.

Lattice parameters (Å, degrees): 5.2526 5.2526 9.1603 73.34 73.34 60.00
Sites, in units of the cell vectors:
Tm (0.2489, 0.2489, 0.2532)
Tm (0.7511, 0.7511, 0.7468)
Nd (0.0000, 0.0000, 0.0000)
Hg (0.3782, 0.3782, 0.8655)
Hg (0.6218, 0.6218, 0.1345)
Hg (0.1273, 0.1273, 0.6182)
Hg (0.8727, 0.8727, 0.3818)
Er (0.5000, 0.5000, 0.5000)

**Final energy**: -23.21 eV for the cell shown

=====

Entry 7:
Computed, not measured: NdYErHg after structural relaxation at the PBE level of DFT.

Lattice parameters (Å, degrees): 5.4621 5.4621 5.4621 60.00 60.00 60.00
Sites, in units of the cell vectors:
Nd (0.2500, 0.2500, 0.2500)
Hg (0.0000, 0.0000, 0.0000)
Y (0.7500, 0.7500, 0.7500)
Er (0.5000, 0.5000, 0.5000)

**Polymorph energy (0 for the lowest one)**: 0.1749 eV/atom

=====

Entry 8:
Computed, not measured: NdYErHg after structural relaxation at the PBE level of DFT.

Lattice parameters (Å, degrees): 3.6320 3.6320 8.9346 90.00 90.00 90.00
Sites, in units of the cell vectors:
Er (0.5000, 0.5000, 0.3557)
Nd (0.0000, 0.0000, 0.0747)
Hg (0.0000, 0.0000, 0.5666)
Y (0.5000, 0.5000, 0.7877)

**Polymorph energy (0 for the lowest one)**: 0.0000 eV/atom

=====

Entry 9:
Computed, not measured: NdErZnHg after structural relaxation at the PBE level of DFT.

Lattice parameters (Å, degrees): 5.2357 5.2357 5.2357 60.00 60.00 60.00
Sites, in units of the cell vectors:
Er (0.7500, 0.7500, 0.7500)
Nd (0.2500, 0.2500, 0.2500)
Hg (0.5000, 0.5000, 0.5000)
Zn (0.0000, 0.0000, 0.0000)

**Polymorph energy (0 for the lowest one)**: 0.0311 eV/atom

=====

Entry 10:
Computed, not measured: NdErZnHg after structural relaxation at the PBE level of DFT.

Lattice parameters (Å, degrees): 3.6337 3.6337 7.5830 90.00 90.00 90.00
Sites, in units of the cell vectors:
Zn (0.0000, 0.0000, 0.3765)
Hg (0.0000, 0.0000, 0.8356)
Er (0.5000, 0.5000, 0.5914)
Nd (0.5000, 0.5000, 0.1245)

**Polymorph energy (0 for the lowest one)**: 0.0000 eV/atom

=====

Entry 11:
Computed, not measured: Er4Ni2Hg5 after structural relaxation at the PBE level of DFT.

Lattice parameters (Å, degrees): 3.5373 7.5260 9.3779 93.41 90.00 90.00
Sites, in units of the cell vectors:
Er (0.5000, 0.1769, 0.8403)
Er (0.5000, 0.2192, 0.4369)
Er (0.5000, 0.8231, 0.1597)
Er (0.5000, 0.7808, 0.5631)
Ni (0.0000, 0.0668, 0.6284)
Ni (0.0000, 0.9332, 0.3716)
Hg (0.0000, 0.8354, 0.8567)
Hg (0.0000, 0.1646, 0.1433)
Hg (0.0000, 0.5546, 0.3331)
Hg (0.0000, 0.5000, 0.0000)
Hg (0.0000, 0.4454, 0.6669)

**Final energy**: -36.28 eV for the cell shown

=====

Entry 12:
Computed, not measured: Er12Ni2Hg5 after structural relaxation at the PBE level of DFT.

Lattice parameters (Å, degrees): 7.4995 8.8037 9.1466 98.27 90.00 115.21
Sites, in units of the cell vectors:
Hg (0.6762, 0.3524, 0.8522)
Hg (0.2824, 0.5647, 0.6383)
Hg (0.0000, 0.0000, 0.5000)
Hg (0.3238, 0.6476, 0.1478)
Hg (0.7176, 0.4353, 0.3617)
Er (0.5889, 0.6673, 0.8858)
Er (0.8807, 0.2816, 0.5643)
Er (0.4111, 0.3327, 0.1142)
Er (0.9216, 0.3327, 0.1142)
Er (0.5991, 0.7184, 0.4357)
Er (0.0349, 0.0697, 0.8360)
Er (0.4009, 0.2816, 0.5643)
Er (0.9651, 0.9303, 0.1640)
Er (0.1193, 0.7184, 0.4357)
Er (0.0784, 0.6673, 0.8858)
Er (0.4885, 0.9771, 0.7411)
Er (0.5115, 0.0229, 0.2589)
Ni (0.6976, 0.0000, 0.0000)
Ni (0.3024, 0.0000, 0.0000)

**Final energy**: -71.08 eV for the cell shown

=====

Entry 13:
Computed, not measured: Er6NiHg after structural relaxation at the PBE level of DFT.

Lattice parameters (Å, degrees): 6.8100 6.8214 7.1836 61.77 61.82 60.02
Sites, in units of the cell vectors:
Ni (0.0000, 0.0000, 0.0000)
Er (0.5822, 0.2174, 0.2418)
Er (0.9584, 0.5823, 0.2415)
Er (0.4178, 0.7826, 0.7582)
Er (0.0416, 0.4177, 0.7585)
Er (0.2182, 0.9594, 0.2417)
Er (0.7818, 0.0406, 0.7583)
Hg (0.5000, 0.5000, 0.5000)

**Final energy**: -33.62 eV for the cell shown

=====

Entry 14:
Computed, not measured: Er3NiHg2 after structural relaxation at the PBE level of DFT.

Lattice parameters (Å, degrees): 5.8061 7.5003 7.8502 103.84 111.70 90.00
Sites, in units of the cell vectors:
Er (0.8707, 0.4356, 0.7417)
Er (0.5021, 0.2500, 0.0000)
Er (0.8710, 0.9356, 0.7417)
Er (0.1293, 0.5644, 0.2583)
Er (0.4979, 0.7500, 0.0000)
Er (0.1290, 0.0644, 0.2583)
Hg (0.3097, 0.4050, 0.6197)
Hg (0.6900, 0.0950, 0.3803)
Hg (0.3100, 0.9050, 0.6197)
Hg (0.6903, 0.5950, 0.3803)
Ni (0.9985, 0.7500, 0.0000)
Ni (0.0015, 0.2500, 0.0000)

**Final energy**: -44.09 eV for the cell shown

=====

Entry 15:
Computed, not measured: Er2Ni2Hg3 after structural relaxation at the PBE level of DFT.

Lattice parameters (Å, degrees): 3.6632 3.9637 10.3093 101.08 90.00 90.00
Sites, in units of the cell vectors:
Ni (0.5000, 0.7159, 0.4318)
Ni (0.5000, 0.2841, 0.5682)
Er (0.0000, 0.1731, 0.3462)
Er (0.0000, 0.8269, 0.6538)
Hg (0.5000, 0.4180, 0.8360)
Hg (0.5000, 0.5820, 0.1640)
Hg (0.0000, 0.0000, 0.0000)

**Final energy**: -24.34 eV for the cell shown

=====

Entry 16:
Computed, not measured: Er5Ni2Hg2 after structural relaxation at the PBE level of DFT.

Lattice parameters (Å, degrees): 7.3492 7.3803 8.7198 115.04 90.00 90.00
Sites, in units of the cell vectors:
Ni (0.3778, 0.1213, 0.0000)
Ni (0.1222, 0.6213, 0.0000)
Ni (0.8778, 0.3787, 0.0000)
Ni (0.6222, 0.8787, 0.0000)
Er (0.8279, 0.5553, 0.7592)
Er (0.3279, 0.9447, 0.2408)
Er (0.6721, 0.0553, 0.7592)
Er (0.6721, 0.2961, 0.2408)
Er (0.8279, 0.7961, 0.2408)
Er (0.5000, 0.5000, 0.0000)
Er (0.1721, 0.4447, 0.2408)
Er (0.0000, 0.0000, 0.0000)
Er (0.1721, 0.2039, 0.7592)
Er (0.3279, 0.7039, 0.7592)
Hg (0.5000, 0.7176, 0.4353)
Hg (0.0000, 0.2176, 0.4353)
Hg (0.0000, 0.7824, 0.5647)
Hg (0.5000, 0.2824, 0.5647)

**Final energy**: -77.27 eV for the cell shown

=====

Entry 17:
Computed, not measured: ErNiHg2 after structural relaxation at the PBE level of DFT.

Lattice parameters (Å, degrees): 3.2916 3.2916 10.0893 80.61 80.61 60.00
Sites, in units of the cell vectors:
Ni (0.5000, 0.5000, 0.5000)
Hg (0.1027, 0.1027, 0.6919)
Hg (0.8973, 0.8973, 0.3081)
Er (0.0000, 0.0000, 0.0000)

**Final energy**: -9.62 eV for the cell shown

=====

Entry 18:
Computed, not measured: Er2Ni2Hg after structural relaxation at the PBE level of DFT.

Lattice parameters (Å, degrees): 3.6647 3.8799 7.2392 105.54 90.00 90.00
Sites, in units of the cell vectors:
Hg (0.0000, 0.0000, 0.0000)
Er (0.5000, 0.3629, 0.7258)
Er (0.5000, 0.6371, 0.2742)
Ni (0.0000, 0.1991, 0.3983)
Ni (0.0000, 0.8009, 0.6017)

**Final energy**: -23.59 eV for the cell shown

=====

Entry 19:
Computed, not measured: Er5NiHg4 after structural relaxation at the PBE level of DFT.

Lattice parameters (Å, degrees): 3.5773 3.5773 18.6718 90.00 90.00 90.00
Sites, in units of the cell vectors:
Er (0.5000, 0.5000, 0.2932)
Er (0.5000, 0.5000, 0.7068)
Er (0.5000, 0.5000, 0.0846)
Er (0.5000, 0.5000, 0.9154)
Er (0.5000, 0.5000, 0.5000)
Hg (0.0000, 0.0000, 0.3971)
Hg (0.0000, 0.0000, 0.1914)
Hg (0.0000, 0.0000, 0.6029)
Hg (0.0000, 0.0000, 0.8086)
Ni (0.0000, 0.0000, 0.0000)

**Final energy**: -34.37 eV for the cell shown

=====

Entry 20:
Computed, not measured: PmErNiHg after structural relaxation at the PBE level of DFT.

Lattice parameters (Å, degrees): 5.0952 5.0952 5.0952 60.00 60.00 60.00
Sites, in units of the cell vectors:
Er (0.0000, 0.0000, 0.0000)
Hg (0.2500, 0.2500, 0.2500)
Ni (0.7500, 0.7500, 0.7500)
Pm (0.5000, 0.5000, 0.5000)

**Final energy**: -16.70 eV for the cell shown